Record 1
# Be3Cu7 PBE-GGA optimized geometry
data_Be3Cu7
_chemical_formula_sum 'Be6 Cu14'
_cell_length_a 12.168
_cell_length_b 3.757
_cell_length_c 4.847
_cell_angle_alpha 90.00
_cell_angle_beta 104.72
_cell_angle_gamma 90.00
_space_group_name_H-M_alt 'C 1 2/m 1'
_space_group_IT_number 12
loop_
_space_group_symop_operation_xyz
'x,y,z'
'-x,-y,-z'
'-x,y,-z'
'x,-y,z'
'x+1/2,y+1/2,z'
'-x+1/2,-y+1/2,-z'
'-x+1/2,y+1/2,-z'
'x+1/2,-y+1/2,z'
loop_
_atom_site_label
_atom_site_type_symbol
_atom_site_fract_x
_atom_site_fract_y
_atom_site_fract_z
Be1 Be 0.000 0.000 0.000
Be2 Be 0.193 0.000 0.660
Cu1 Cu 0.000 0.000 0.500
Cu2 Cu 0.088 0.500 0.858
Cu3 Cu 0.121 0.500 0.380
Cu4 Cu 0.205 0.000 0.151
# Relative energy among the computed polymorphs, kJ/mol of formula units: 0.0
# M_tot, μB per atom: 0.00
# ΔE_f, meV per atom: -30



Record 2
# Er3AgRh PBE-GGA optimized geometry
data_Er3AgRh
_chemical_formula_sum 'Er6 Ag2 Rh2'
_cell_length_a 5.504
_cell_length_b 6.147
_cell_length_c 8.455
_cell_angle_alpha 103.03
_cell_angle_beta 99.84
_cell_angle_gamma 114.88
_space_group_name_H-M_alt 'P -1'
_space_group_IT_number 2
loop_
_space_group_symop_operation_xyz
'x,y,z'
'-x,-y,-z'
loop_
_atom_site_label
_atom_site_type_symbol
_atom_site_fract_x
_atom_site_fract_y
_atom_site_fract_z
Er1 Er 0.055 0.202 0.283
Er2 Er 0.276 0.423 0.719
Er3 Er 0.308 0.808 0.117
Ag1 Ag 0.347 0.761 0.499
Rh1 Rh 0.248 0.248 0.997
# M_tot, μB per atom: 0.00
# ΔE_f, meV per atom: -500



Record 3
# CaGaSe2Br PBE-GGA optimized geometry
data_CaGaSe2Br
_chemical_formula_sum 'Ca1 Ga1 Se2 Br1'
_cell_length_a 5.587
_cell_length_b 5.587
_cell_length_c 5.666
_cell_angle_alpha 90.00
_cell_angle_beta 90.00
_cell_angle_gamma 90.00
_space_group_name_H-M_alt 'P 4/m m m'
_space_group_IT_number 123
_space_group_name_Hall '-P 4 2'
loop_
_atom_site_label
_atom_site_type_symbol
_atom_site_fract_x
_atom_site_fract_y
_atom_site_fract_z
Ca1 Ca 0.000 0.000 0.000
Ga1 Ga 0.500 0.500 0.500
Se1 Se 0.000 0.500 0.000
Br1 Br 0.000 0.000 0.500
# Relative energy among the computed polymorphs, kJ/mol of formula units: 163.5
# Formation energy without anion corrections, meV per atom: -434.0
# M_tot, μB per atom: 0.33



Record 4
# Tb2AlNi4P3 PBE-GGA optimized geometry
data_Tb2AlNi4P3
_chemical_formula_sum 'Tb2 Al1 Ni4 P3'
_cell_length_a 3.858
_cell_length_b 3.858
_cell_length_c 9.808
_cell_angle_alpha 90.00
_cell_angle_beta 90.00
_cell_angle_gamma 90.00
_space_group_name_H-M_alt 'P -4 m 2'
_space_group_IT_number 115
loop_
_space_group_symop_operation_xyz
'x,y,z'
'y,-x,-z'
'-x,-y,z'
'-y,x,-z'
'-x,y,z'
'-y,-x,-z'
'x,-y,z'
'y,x,-z'
loop_
_atom_site_label
_atom_site_type_symbol
_atom_site_fract_x
_atom_site_fract_y
_atom_site_fract_z
Tb1 Tb 0.000 0.500 0.238
Al1 Al 0.000 0.000 0.500
Ni1 Ni 0.000 0.000 0.000
Ni2 Ni 0.000 0.500 0.638
Ni3 Ni 0.500 0.500 0.000
P1 P 0.000 0.500 0.868
P2 P 0.500 0.500 0.500
# M_tot, μB per atom: 0.00
# ΔE_f, meV per atom: -975



What is the formula in the second record?
Er3AgRh



Look up the M_tot of the second one.
0.00 μB per atom



M_tot of number 2 (Er3AgRh)?
0.00 μB per atom